# 1
Density functional theory data (PBE) for a relaxed PmSm2Y5 crystal.

- Volume: 530 Å³ per cell
- Symmetry: C2/c (15)
- Calculated density: 5.6 g/cm³
- Energy relative to the lowest polymorph listed for this composition: 135 meV per atom
- Formation enthalpy at 0 K: 0.153 eV per atom

Cell: 9.962 6.554 10.940 Å, 119.47 117.08 90.00°
Sites, in units of the cell vectors:
Pm (0.000, 0.000, 0.500)
Pm (0.500, 0.500, 0.500)
Sm (0.176, 0.463, 0.844)
Sm (0.667, 0.963, 0.844)
Sm (0.824, 0.537, 0.156)
Sm (0.333, 0.037, 0.156)
Y (0.492, 0.446, 0.803)
Y (0.942, 0.750, 0.000)
Y (0.058, 0.250, 0.000)
Y (0.891, 0.629, 0.606)
Y (0.109, 0.371, 0.394)
Y (0.714, 0.129, 0.606)
Y (0.286, 0.871, 0.394)
Y (0.508, 0.554, 0.197)
Y (0.311, 0.946, 0.803)
Y (0.689, 0.054, 0.197)

---

# 2
Density functional theory data (PBE) for a relaxed Pm2Sm2Y crystal.

- Volume: 342 Å³ per cell
- Symmetry: P4/mbm (127)
- Calculated density: 6.6 g/cm³
- Energy relative to the lowest polymorph listed for this composition: 23 meV per atom
- Formation enthalpy at 0 K: 0.093 eV per atom

Cell: 9.514 9.514 3.773 Å, 90.00 90.00 90.00°
Sites, in units of the cell vectors:
Pm (0.171, 0.671, 0.500)
Pm (0.671, 0.829, 0.500)
Pm (0.829, 0.329, 0.500)
Pm (0.329, 0.171, 0.500)
Sm (0.371, 0.871, 0.000)
Sm (0.871, 0.629, 0.000)
Sm (0.629, 0.129, 0.000)
Sm (0.129, 0.371, 0.000)
Y (0.000, 0.000, 0.000)
Y (0.500, 0.500, 0.000)

---

# 3
Density functional theory data (PBE) for a relaxed PmSm2Y6 crystal.

- Volume: 299 Å³ per cell
- Symmetry: Immm (71)
- Calculated density: 5.4 g/cm³
- Energy relative to the lowest polymorph listed for this composition: 8 meV per atom
- Formation enthalpy at 0 K: 0.105 eV per atom

Cell: 3.512 9.861 9.861 Å, 63.38 79.77 79.77°
Sites, in units of the cell vectors:
Pm (0.000, 0.000, 0.000)
Sm (0.844, 0.658, 0.658)
Sm (0.156, 0.342, 0.342)
Y (0.822, 0.344, 0.011)
Y (0.178, 0.989, 0.656)
Y (0.178, 0.656, 0.989)
Y (0.500, 0.316, 0.684)
Y (0.822, 0.011, 0.344)
Y (0.500, 0.684, 0.316)

---

# 4
Density functional theory data (PBE) for a relaxed PmSm5Y12 crystal.

- Volume: 589 Å³ per cell
- Symmetry: P2/m (10)
- Calculated density: 5.5 g/cm³
- Formation enthalpy at 0 K: 0.020 eV per atom

Cell: 15.216 10.762 5.081 Å, 90.00 90.00 45.10°
Sites, in units of the cell vectors:
Pm (0.000, 0.000, 0.000)
Sm (0.500, 0.000, 0.500)
Sm (0.167, 0.666, 0.500)
Sm (0.833, 0.334, 0.500)
Sm (0.667, 0.667, 0.000)
Sm (0.333, 0.333, 0.000)
Y (0.833, 0.000, 0.500)
Y (0.167, 0.000, 0.500)
Y (0.667, 0.000, 0.000)
Y (0.333, 0.000, 0.000)
Y (0.334, 0.666, 0.000)
Y (0.000, 0.666, 0.000)
Y (0.000, 0.334, 0.000)
Y (0.666, 0.334, 0.000)
Y (0.500, 0.333, 0.500)
Y (0.833, 0.667, 0.500)
Y (0.167, 0.333, 0.500)
Y (0.500, 0.667, 0.500)

---

# 5
Density functional theory data (PBE) for a relaxed Pm2Sm6Y5 crystal.

- Volume: 882 Å³ per cell
- Symmetry: Pbam (55)
- Calculated density: 6.2 g/cm³
- Formation enthalpy at 0 K: 0.098 eV per atom

Cell: 3.643 11.783 20.545 Å, 90.00 90.00 90.00°
Sites, in units of the cell vectors:
Pm (0.000, 0.330, 0.285)
Pm (0.000, 0.670, 0.715)
Pm (0.000, 0.830, 0.215)
Pm (0.000, 0.170, 0.785)
Sm (0.000, 0.078, 0.364)
Sm (0.000, 0.922, 0.636)
Sm (0.000, 0.578, 0.136)
Sm (0.000, 0.422, 0.864)
Sm (0.500, 0.324, 0.130)
Sm (0.500, 0.676, 0.870)
Sm (0.500, 0.824, 0.370)
Sm (0.500, 0.176, 0.630)
Sm (0.000, 0.562, 0.423)
Sm (0.000, 0.438, 0.577)
Sm (0.000, 0.062, 0.077)
Sm (0.000, 0.938, 0.923)
Y (0.500, 0.302, 0.444)
Y (0.500, 0.698, 0.556)
Y (0.500, 0.802, 0.056)
Y (0.500, 0.198, 0.944)
Y (0.500, 0.591, 0.278)
Y (0.500, 0.409, 0.722)
Y (0.500, 0.091, 0.222)
Y (0.500, 0.909, 0.778)
Y (0.500, 0.500, 0.000)
Y (0.500, 0.000, 0.500)

---

# 6
Density functional theory data (PBE) for a relaxed Pm2SmY5 crystal.

- Volume: 527 Å³ per cell
- Symmetry: Pbam (55)
- Calculated density: 5.6 g/cm³
- Energy relative to the lowest polymorph listed for this composition: 0 meV per atom
- Formation enthalpy at 0 K: 0.018 eV per atom

Cell: 5.081 7.197 14.403 Å, 90.00 90.00 90.00°
Sites, in units of the cell vectors:
Pm (0.500, 0.250, 0.625)
Pm (0.500, 0.750, 0.375)
Pm (0.500, 0.250, 0.125)
Pm (0.500, 0.750, 0.875)
Sm (0.000, 0.000, 0.500)
Sm (0.000, 0.500, 0.000)
Y (0.000, 0.000, 0.000)
Y (0.000, 0.500, 0.500)
Y (0.000, 0.501, 0.750)
Y (0.000, 0.499, 0.250)
Y (0.000, 0.999, 0.250)
Y (0.000, 0.001, 0.750)
Y (0.500, 0.251, 0.875)
Y (0.500, 0.749, 0.125)
Y (0.500, 0.249, 0.375)
Y (0.500, 0.751, 0.625)